No. 1
Computed, not measured: a relaxed NdZn4Pb crystal at the PBE level of DFT.

**SG**: F-43m (216)

Geometry as POSCAR:
```
NdZn4Pb
1.0
5.604 0.000 0.000
2.802 4.854 0.000
2.802 1.618 4.576
Zn Nd Pb
4 1 1
Direct
0.625 0.126 0.625 Zn
0.126 0.625 0.625 Zn
0.625 0.625 0.126 Zn
0.625 0.625 0.625 Zn
0.250 0.250 0.250 Nd
0.000 0.000 0.000 Pb
```

No. 2
Computed, not measured: a relaxed Zn2OsPt crystal at the PBE level of DFT.

**SG**: R-3m (166)

Geometry as POSCAR:
```
Zn2OsPt
1.0
8.729 0.003 0.002
8.280 2.764 0.002
8.280 1.347 2.413
Pt Zn Os
1 2 1
Direct
0.750 0.750 0.750 Pt
0.501 0.501 0.501 Zn
0.999 0.999 0.999 Zn
0.250 0.250 0.250 Os
```

No. 3
Computed, not measured: a relaxed HgAsOs2 crystal at the PBE level of DFT.

**SG**: Cmmm (65)
**Energy above the most stable polymorph in this dataset**: 0.404 eV per atom

Geometry as POSCAR:
```
HgAsOs2
1.0
-1.881 1.994 1.155
-0.688 -1.444 -2.507
-3.855 -6.375 4.731
Hg As Os
1 1 2
Direct
0.500 0.500 0.750 Hg
0.500 0.500 0.250 As
0.000 0.000 0.466 Os
0.000 0.000 0.034 Os
```

No. 4
Computed, not measured: a relaxed TiGe2Rh crystal at the PBE level of DFT.

**SG**: R-3m (166)

Geometry as POSCAR:
```
TiGe2Rh
1.0
2.969 0.000 0.000
1.485 2.572 0.000
1.485 0.857 9.034
Ge Rh Ti
2 1 1
Direct
0.904 0.904 0.287 Ge
0.096 0.096 0.713 Ge
0.500 0.500 0.500 Rh
0.000 0.000 0.000 Ti
```

Number 1: density of states at the Fermi level 2.11 states/eV/cell, ΔH_f (0 K) -0.13 eV/atom, total DFT energy (no corrections) -2.392 eV per atom. Number 2: density of states at the Fermi level 2.47 states/eV/cell, ΔH_f (0 K) -0.08 eV/atom, total DFT energy (no corrections) -5.039 eV per atom. Number 3: density of states at the Fermi level 3.22 states/eV/cell, ΔH_f (0 K) 0.80 eV/atom, total DFT energy (no corrections) -6.053 eV per atom. Number 4: density of states at the Fermi level 3.27 states/eV/cell, ΔH_f (0 K) -0.07 eV/atom, total DFT energy (no corrections) -6.195 eV per atom.